This record from Alexandria describes a relaxed structure of Mg2CoAgN. The functional is PBE-GGA.

abc: 4.4728 4.4728 3.5550
angles: 90.00 90.00 90.00
Closest atoms and distances in Å follow each position.
Positions (direct):
Mg1 0.0000 0.5000 0.0000  2 N 2.24
Mg2 0.5000 0.0000 0.0000  2 N 2.24
Co1 0.0000 0.0000 0.5000  2 N 1.78
Ag1 0.5000 0.5000 0.5000  8 Mg 2.86, 4 Co 3.16
N1 0.0000 0.0000 0.0000  2 Co 1.78

## Properties
SG: P4/mmm
Raw formation energy, eV/atom: -0.264

This record from Alexandria describes a relaxed structure of CoPSe4. The functional is PBE-GGA.

abc: 5.5801 5.5801 5.5801
angles: 60.00 60.00 60.00
Closest atoms and distances in Å follow each position.
Positions (direct):
Co1 0.0000 0.0000 0.0000  12 Se 3.27, 4 P 3.42
P1 0.7500 0.7500 0.7500  12 Se 3.27, 4 Co 3.42
Se1 0.3746 0.3746 0.3746  6 Se 2.78-2.80
Se2 0.3746 0.3746 0.8763  6 Se 2.78-2.80
Se3 0.3746 0.8763 0.3746  6 Se 2.78-2.80
Se4 0.8763 0.3746 0.3746  6 Se 2.78-2.80

## Properties
SG: F-43m
Raw formation energy, eV/atom: 1.151

This record from Alexandria describes a relaxed structure of PmRhAu2. The functional is PBE-GGA.

abc: 4.8646 4.8646 4.8646
angles: 60.00 60.00 60.00
Closest atoms and distances in Å follow each position.
Positions (direct):
Pm1 0.0000 0.0000 0.0000  8 Au 2.98
Rh1 0.5000 0.5000 0.5000  8 Au 2.98
Au1 0.2500 0.2500 0.2500  4 Rh 2.98, 4 Pm 2.98
Au2 0.7500 0.7500 0.7500  4 Pm 2.98, 4 Rh 2.98

## Properties
Polymorph energy (0 for the lowest one), meV/atom: 181.5
SG: Fm-3m
E_form, eV per atom: -0.411

This record from Alexandria describes a relaxed structure of CeYAgSb. The functional is PBE-GGA.

abc: 5.3074 5.3074 5.3074
angles: 60.00 60.00 60.00
Closest atoms and distances in Å follow each position.
Positions (direct):
Ce1 0.0000 0.0000 0.0000  4 Ag 3.25, 4 Sb 3.25
Y1 0.5000 0.5000 0.5000  4 Sb 3.25, 4 Ag 3.25
Ag1 0.7500 0.7500 0.7500  4 Ce 3.25, 4 Y 3.25
Sb1 0.2500 0.2500 0.2500  4 Ce 3.25, 4 Y 3.25

## Properties
SG: F-43m
Raw formation energy, eV/atom: -0.522

This record from Alexandria describes a relaxed structure of Tb2Y4Ho. The functional is PBE-GGA.

abc: 8.5687 8.5687 8.7311
angles: 119.08 119.08 23.94
Closest atoms and distances in Å follow each position.
Positions (direct):
Tb1 0.0699 0.0699 0.4303  1 Tb 3.13, 3 Y 3.33-3.51, 1 Ho 3.33
Tb2 0.9301 0.9301 0.5697  1 Tb 3.13, 3 Y 3.33-3.51, 1 Ho 3.33
Y1 0.2961 0.2961 0.7067  3 Tb 3.33-3.51, 5 Y 3.55-3.61, 2 Ho 3.56
Y2 0.3587 0.3587 0.1632  7 Y 3.55-3.77, 4 Tb 3.60, 2 Ho 3.76
Y3 0.6413 0.6413 0.8368  7 Y 3.55-3.77, 4 Tb 3.60, 2 Ho 3.76
Y4 0.7039 0.7039 0.2933  3 Tb 3.33-3.51, 5 Y 3.55-3.61, 2 Ho 3.56
Ho1 0.0000 0.0000 0.0000  2 Tb 3.33, 2 Ho 3.55, 4 Y 3.56

## Properties
Polymorph energy (0 for the lowest one), meV/atom: 0.0
SG: C2/m
E_form, eV per atom: 0.035

This record from Alexandria describes a relaxed structure of ReBPtN2. The functional is PBE-GGA.

abc: 3.5914 3.5914 5.8018
angles: 90.00 90.00 90.00
Closest atoms and distances in Å follow each position.
Positions (direct):
Re1 0.0000 0.0000 0.0000  4 B 2.54
B1 0.5000 0.5000 0.0000  4 Re 2.54
Pt1 0.0000 0.0000 0.5000  4 N 1.80
N1 0.0000 0.5000 0.5000  2 Pt 1.80
N2 0.5000 0.0000 0.5000  2 Pt 1.80

## Properties
SG: P4/mmm
Raw formation energy, eV/atom: 2.120

This record from Alexandria describes a relaxed structure of CsU2Te2Se. The functional is PBE-GGA.

abc: 5.4068 5.4068 8.2790
angles: 90.00 90.00 90.00
Closest atoms and distances in Å follow each position.
Positions (direct):
Cs1 0.0000 0.0000 0.0000  2 Se 4.14, 8 Te 4.43
U1 0.0000 0.5000 0.5000  2 Se 2.70
U2 0.5000 0.0000 0.5000  2 Se 2.70
Te1 0.5000 0.5000 0.2696  4 U 3.31
Te2 0.5000 0.5000 0.7304  4 U 3.31
Se1 0.0000 0.0000 0.5000  4 U 2.70

## Properties
SG: P4/mmm
Raw formation energy, eV/atom: -0.688

This record from Alexandria describes a relaxed structure of VIn3Os. The functional is PBE-GGA.

abc: 5.1394 5.1394 5.1394
angles: 90.00 90.00 90.00
Closest atoms and distances in Å follow each position.
Positions (direct):
V1 0.0000 0.0000 0.0000  12 In 3.63
In1 0.0000 0.5000 0.5000  2 Os 2.57
In2 0.5000 0.0000 0.5000  2 Os 2.57
In3 0.5000 0.5000 0.0000  2 Os 2.57
Os1 0.5000 0.5000 0.5000  6 In 2.57

## Properties
Polymorph energy (0 for the lowest one), meV/atom: 0.0
SG: Pm-3m
E_form, eV per atom: 0.801

This record from Alexandria describes a relaxed structure of Li3Ac2IrO6. The functional is PBE-GGA.

abc: 6.4176 6.4176 5.3558
angles: 96.34 96.34 129.54
Closest atoms and distances in Å follow each position.
Positions (direct):
Li1 0.0000 0.0000 0.0000  2 O 2.14
Li2 0.3996 0.6004 0.0000  4 O 1.95-2.03
Li3 0.6004 0.3996 0.0000  4 O 1.95-2.03
Ac1 0.1615 0.8385 0.5000  6 O 2.45-2.70
Ac2 0.8385 0.1615 0.5000  6 O 2.45-2.70
Ir1 0.5000 0.5000 0.5000  6 O 2.16
O1 0.1797 0.4607 0.2574  1 Li 1.95, 1 Ir 2.16
O2 0.2463 0.2463 0.7490  3 Li 2.03-2.14, 1 Ir 2.16
O3 0.4607 0.1797 0.2574  1 Li 1.95, 1 Ir 2.16
O4 0.5393 0.8203 0.7426  1 Li 1.95, 1 Ir 2.16
O5 0.7537 0.7537 0.2510  3 Li 2.03-2.14, 1 Ir 2.16
O6 0.8203 0.5393 0.7426  1 Li 1.95, 1 Ir 2.16

## Properties
SG: C2/m
Raw formation energy, eV/atom: -2.051

This record from Alexandria describes a relaxed structure of TcWC2. The functional is PBE-GGA.

abc: 3.8286 3.8286 3.8286
angles: 60.00 60.00 60.00
Closest atoms and distances in Å follow each position.
Positions (direct):
Tc1 0.0000 0.0000 0.0000  8 C 2.34
W1 0.5000 0.5000 0.5000  8 C 2.34
C1 0.2500 0.2500 0.2500  4 W 2.34, 4 Tc 2.34
C2 0.7500 0.7500 0.7500  4 Tc 2.34, 4 W 2.34

## Properties
Polymorph energy (0 for the lowest one), meV/atom: 310.5
SG: Fm-3m
E_form, eV per atom: 0.885

This record from Alexandria describes a relaxed structure of CuMoPb2. The functional is PBE-GGA.

abc: 4.9024 4.9024 4.9024
angles: 60.00 60.00 60.00
Closest atoms and distances in Å follow each position.
Positions (direct):
Cu1 0.0000 0.0000 0.0000  8 Pb 3.00
Mo1 0.5000 0.5000 0.5000  8 Pb 3.00
Pb1 0.2500 0.2500 0.2500  4 Mo 3.00, 4 Cu 3.00
Pb2 0.7500 0.7500 0.7500  4 Mo 3.00, 4 Cu 3.00

## Properties
Polymorph energy (0 for the lowest one), meV/atom: 360.4
SG: Fm-3m
E_form, eV per atom: 0.796

This record from Alexandria describes a relaxed structure of AgSNCl2. The functional is PBE-GGA.

abc: 5.1089 5.1089 4.9090
angles: 90.00 90.00 90.00
Closest atoms and distances in Å follow each position.
Positions (direct):
Ag1 0.0000 0.0000 0.0000  2 S 2.45, 4 Cl 2.55
S1 0.0000 0.0000 0.5000  2 Ag 2.45
N1 0.5000 0.5000 0.5000  8 Cl 3.54, 4 S 3.61
Cl1 0.0000 0.5000 0.0000  2 Ag 2.55
Cl2 0.5000 0.0000 0.0000  2 Ag 2.55

## Properties
Polymorph energy (0 for the lowest one), meV/atom: 531.4
SG: P4/mmm
Raw formation energy, eV/atom: 1.305

| no. | calculated total energy (eV/cell) |
| --- | --- |
| 1 | -22.79 |
| 2 | -19.55 |
| 3 | -20.30 |
| 4 | -21.46 |
| 5 | -39.45 |
| 6 | -31.22 |
| 7 | -37.33 |
| 8 | -24.56 |
| 9 | -77.18 |
| 10 | -38.23 |
| 11 | -19.16 |
| 12 | -12.47 |